Record 1
First-principles (GGA-PBE) data for a relaxed La3Au4 crystal, as listed in Alexandria via LeMat-Bulk.

calculated density = 10.65 g cm⁻³
energy of formation = -0.684 eV per atom
crystal system = tetragonal
ΔE to the lowest computed polymorph = 156.4 meV per atom
final energy = -4.67 eV/atom

The structure in CIF format:
```
data_La3Au4
_chemical_formula_sum 'La6 Au8'
_symmetry_space_group_name_H-M 'I 4/m m m'
_symmetry_Int_Tables_number 139
_symmetry_space_group_name_Hall '-I 4 2'
_cell_length_a 4.000
_cell_length_b 4.000
_cell_length_c 23.462
_cell_angle_alpha 90.00
_cell_angle_beta 90.00
_cell_angle_gamma 90.00
loop_
_atom_site_label
_atom_site_fract_x
_atom_site_fract_y
_atom_site_fract_z
La1 0.000 0.000 0.000
La2 0.000 0.000 0.306
Au1 0.000 0.000 0.138
Au2 0.000 0.000 0.436
```

=====

Record 2
First-principles (GGA-PBE) data for a relaxed CuSbRh2 crystal, as listed in Alexandria via LeMat-Bulk.

calculated density = 9.88 g cm⁻³
crystal system = trigonal
ΔE to the lowest computed polymorph = 384.6 meV per atom
uncorrected formation energy = 0.08 eV per atom
final energy = -5.65 eV/atom

The structure in CIF format:
```
data_CuSbRh2
_chemical_formula_sum 'Cu3 Sb3 Rh6'
_symmetry_space_group_name_H-M 'R -3 m'
_symmetry_Int_Tables_number 166
_symmetry_space_group_name_Hall '-R 3 2"'
_cell_length_a 3.1555
_cell_length_b 3.1555
_cell_length_c 22.8725
_cell_angle_alpha 90.00
_cell_angle_beta 90.00
_cell_angle_gamma 120.00
loop_
_atom_site_label
_atom_site_fract_x
_atom_site_fract_y
_atom_site_fract_z
Cu1 0.0000 0.0000 0.0000
Sb1 0.0000 0.0000 0.5000
Rh1 0.0000 0.0000 0.2510
```

=====

Record 3
First-principles (GGA-PBE) data for a relaxed TbEuHoTh crystal, as listed in Alexandria via LeMat-Bulk.

calculated density = 8.77 g cm⁻³
energy of formation = 0.203 eV per atom
crystal system = cubic
final energy = -6.52 eV/atom

The structure in CIF format:
```
data_TbEuHoTh
_chemical_formula_sum 'Tb4 Eu4 Ho4 Th4'
_symmetry_space_group_name_H-M 'F -4 3 m'
_symmetry_Int_Tables_number 216
_symmetry_space_group_name_Hall 'F -4 2 3'
_cell_length_a 8.125
_cell_length_b 8.125
_cell_length_c 8.125
_cell_angle_alpha 90.00
_cell_angle_beta 90.00
_cell_angle_gamma 90.00
loop_
_atom_site_label
_atom_site_fract_x
_atom_site_fract_y
_atom_site_fract_z
Tb1 0.000 0.000 0.000
Eu1 0.250 0.250 0.750
Ho1 0.000 0.000 0.500
Th1 0.250 0.250 0.250
```

=====

Record 4
First-principles (GGA-PBE) data for a relaxed K3Na crystal, as listed in Alexandria via LeMat-Bulk.

calculated density = 0.94 g cm⁻³
energy of formation = 0.020 eV per atom
crystal system = cubic
final energy = -1.13 eV/atom

The structure in CIF format:
```
data_K3Na
_chemical_formula_sum 'K3 Na1'
_symmetry_space_group_name_H-M 'P m -3 m'
_symmetry_Int_Tables_number 221
_symmetry_space_group_name_Hall '-P 4 2 3'
_cell_length_a 6.291
_cell_length_b 6.291
_cell_length_c 6.291
_cell_angle_alpha 90.00
_cell_angle_beta 90.00
_cell_angle_gamma 90.00
loop_
_atom_site_label
_atom_site_fract_x
_atom_site_fract_y
_atom_site_fract_z
K1 0.000 0.000 0.500
Na1 0.500 0.500 0.500
```

=====

Record 5
First-principles (GGA-PBE) data for a relaxed Li6SiP4 crystal, as listed in Alexandria via LeMat-Bulk.

calculated density = 1.82 g cm⁻³
crystal system = hexagonal
uncorrected formation energy = -0.49 eV per atom
final energy = -4.00 eV/atom

The structure in CIF format:
```
data_Li6SiP4
_chemical_formula_sum 'Li12 Si2 P8'
_symmetry_space_group_name_H-M 'P 63 m c'
_symmetry_Int_Tables_number 186
_symmetry_space_group_name_Hall 'P 6c -2c'
_cell_length_a 8.4878
_cell_length_b 8.4878
_cell_length_c 5.6621
_cell_angle_alpha 90.00
_cell_angle_beta 90.00
_cell_angle_gamma 120.00
loop_
_atom_site_label
_atom_site_fract_x
_atom_site_fract_y
_atom_site_fract_z
Li1 0.0270 0.5135 0.0000
Li2 0.1559 0.3118 0.7484
Si1 0.3333 0.6667 0.3446
P1 0.1854 0.3709 0.2504
P2 0.3333 0.6667 0.7436
```

=====

Record 6
First-principles (GGA-PBE) data for a relaxed TlPb2Br2 crystal, as listed in Alexandria via LeMat-Bulk.

calculated density = 7.16 g cm⁻³
crystal system = tetragonal
ΔE to the lowest computed polymorph = 63.8 meV per atom
uncorrected formation energy = -0.32 eV per atom
final energy = -2.94 eV/atom

The structure in CIF format:
```
data_TlPb2Br2
_chemical_formula_sum 'Tl2 Pb4 Br4'
_symmetry_space_group_name_H-M 'P 4/m b m'
_symmetry_Int_Tables_number 127
_symmetry_space_group_name_Hall '-P 4 2ab'
_cell_length_a 8.261
_cell_length_b 8.261
_cell_length_c 5.289
_cell_angle_alpha 90.00
_cell_angle_beta 90.00
_cell_angle_gamma 90.00
loop_
_atom_site_label
_atom_site_fract_x
_atom_site_fract_y
_atom_site_fract_z
Tl1 0.000 0.000 0.000
Pb1 0.145 0.355 0.000
Br1 0.236 0.736 0.500
```

=====

Record 7
First-principles (GGA-PBE) data for a relaxed PrTm14Mg crystal, as listed in Alexandria via LeMat-Bulk.

calculated density = 8.75 g cm⁻³
energy of formation = 0.014 eV per atom
crystal system = orthorhombic
final energy = -4.30 eV/atom

The structure in CIF format:
```
data_PrTm14Mg
_chemical_formula_sum 'Pr2 Tm28 Mg2'
_symmetry_space_group_name_H-M 'A m m 2'
_symmetry_Int_Tables_number 38
_symmetry_space_group_name_Hall 'A 2 -2'
_cell_length_a 11.264
_cell_length_b 7.006
_cell_length_c 12.167
_cell_angle_alpha 90.00
_cell_angle_beta 90.00
_cell_angle_gamma 90.00
loop_
_atom_site_label
_atom_site_fract_x
_atom_site_fract_y
_atom_site_fract_z
Pr1 0.000 0.000 0.000
Tm1 0.000 0.247 0.754
Tm2 0.247 0.000 0.339
Tm3 0.251 0.250 0.090
Tm4 0.254 0.000 0.839
Tm5 0.500 0.000 0.172
Tm6 0.500 0.000 0.671
Tm7 0.500 0.248 0.422
Mg1 0.000 0.000 0.505
```

=====

Record 8
First-principles (GGA-PBE) data for a relaxed PuSbMo crystal, as listed in Alexandria via LeMat-Bulk.

calculated density = 10.67 g cm⁻³
crystal system = trigonal
uncorrected formation energy = 0.28 eV per atom
final energy = -9.48 eV/atom

The structure in CIF format:
```
data_PuSbMo
_chemical_formula_sum 'Pu6 Sb6 Mo6'
_symmetry_space_group_name_H-M 'R -3 m'
_symmetry_Int_Tables_number 166
_symmetry_space_group_name_Hall '-R 3 2"'
_cell_length_a 4.8663
_cell_length_b 4.8663
_cell_length_c 21.0301
_cell_angle_alpha 90.00
_cell_angle_beta 90.00
_cell_angle_gamma 120.00
loop_
_atom_site_label
_atom_site_fract_x
_atom_site_fract_y
_atom_site_fract_z
Pu1 0.0000 0.0000 0.1304
Sb1 0.0000 0.0000 0.3871
Mo1 0.0000 0.0000 0.2525
```

=====

Record 9
First-principles (GGA-PBE) data for a relaxed BeAgN crystal, as listed in Alexandria via LeMat-Bulk.

calculated density = 6.50 g cm⁻³
crystal system = orthorhombic
uncorrected formation energy = -0.21 eV per atom
final energy = -5.17 eV/atom

The structure in CIF format:
```
data_BeAgN
_chemical_formula_sum 'Be2 Ag2 N2'
_symmetry_space_group_name_H-M 'A m m 2'
_symmetry_Int_Tables_number 38
_symmetry_space_group_name_Hall 'A 2 -2'
_cell_length_a 4.448
_cell_length_b 2.952
_cell_length_c 5.091
_cell_angle_alpha 90.00
_cell_angle_beta 90.00
_cell_angle_gamma 90.00
loop_
_atom_site_label
_atom_site_fract_x
_atom_site_fract_y
_atom_site_fract_z
Be1 0.000 0.000 0.000
Ag1 0.500 0.000 0.336
N1 0.000 0.000 0.333
```

=====

Record 10
First-principles (GGA-PBE) data for a relaxed V2SN crystal, as listed in Alexandria via LeMat-Bulk.

calculated density = 3.79 g cm⁻³
crystal system = trigonal
ΔE to the lowest computed polymorph = 330.0 meV per atom
uncorrected formation energy = -0.35 eV per atom
final energy = -8.02 eV/atom

The structure in CIF format:
```
data_V2SN
_chemical_formula_sum 'V6 S3 N3'
_symmetry_space_group_name_H-M 'R -3 m'
_symmetry_Int_Tables_number 166
_symmetry_space_group_name_Hall '-R 3 2"'
_cell_length_a 3.8109
_cell_length_b 3.8109
_cell_length_c 15.4625
_cell_angle_alpha 90.00
_cell_angle_beta 90.00
_cell_angle_gamma 120.00
loop_
_atom_site_label
_atom_site_fract_x
_atom_site_fract_y
_atom_site_fract_z
V1 0.0000 0.0000 0.1134
S1 0.0000 0.0000 0.5000
N1 0.0000 0.0000 0.0000
```